(1)
Compound: LiLu3
Source: Alexandria
Functional: PBE
Structure: optimized geometry

Cell lengths 3.300, 3.371, 10.405 Å; angles 90.00, 90.00, 90.00 degrees
Fractional coordinates of all 4 atoms:
Li 0.000 0.000 0.000
Lu 0.000 0.500 0.263
Lu 0.500 0.000 0.494
Lu 0.500 0.500 0.775

Output
Energy relative to the lowest polymorph listed for this composition ... 0.2141 eV/atom
E_form ... 0.302 eV/atom
V ... 116 Å³/f.u.
Electronic total energy ... -14.3 eV/cell



(2)
Compound: LiLu3
Source: Alexandria
Functional: PBE
Structure: optimized geometry

Cell lengths 6.339, 6.339, 6.339 Å; angles 146.60, 61.32, 130.17 degrees
Fractional coordinates of all 4 atoms:
Li 0.000 0.000 0.000
Lu 0.226 0.501 0.725
Lu 0.501 0.001 0.500
Lu 0.777 0.501 0.275

Output
Energy relative to the lowest polymorph listed for this composition ... 0.0000 eV/atom
E_form ... 0.088 eV/atom
V ... 106 Å³/f.u.
Electronic total energy ... -15.1 eV/cell



(3)
Compound: LiLu5
Source: Alexandria
Functional: PBE
Structure: optimized geometry

Cell lengths 7.624, 7.624, 4.860 Å; angles 90.00, 90.00, 143.32 degrees
Fractional coordinates of all 6 atoms:
Li 0.000 0.000 0.000
Lu 0.171 0.829 0.500
Lu 0.334 0.666 0.000
Lu 0.500 0.500 0.500
Lu 0.666 0.334 0.000
Lu 0.829 0.171 0.500

Output
E_form ... 0.134 eV/atom
V ... 169 Å³/f.u.
Electronic total energy ... -23.7 eV/cell